w:
TbAlTl | PBE-GGA | optimized geometry

The structure in POSCAR format:
```
TbAlTl
1.0
2.135 1.233 10.339
-2.135 1.233 10.339
0.000 -2.465 10.339
Tb Al Tl
2 2 2
Cartesian
0.000 0.000 2.028
0.000 0.000 28.987
0.000 0.000 10.440
0.000 0.000 20.576
0.000 0.000 6.138
0.000 0.000 24.878
```

Properties
Density of states at the Fermi level (states/eV/f.u.): 2.04
Spin magnetization (μB/atom): 0.000
Space-group type: R-3m



x:
TbAlTl | PBE-GGA | optimized geometry

The structure in POSCAR format:
```
TbAlTl
1.0
4.790 0.000 0.000
-2.395 4.149 0.000
0.000 0.000 3.579
Tb Al Tl
1 1 1
Cartesian
0.000 0.000 0.000
0.000 2.766 1.793
2.395 1.383 1.786
```

Properties
Density of states at the Fermi level (states/eV/f.u.): 0.38
Spin magnetization (μB/atom): 0.000
Space-group type: P3m1



y:
TbAlTl | PBE-GGA | optimized geometry

The structure in POSCAR format:
```
TbAlTl
1.0
3.484 0.000 0.000
0.000 3.484 0.000
0.000 0.000 12.142
Tb Al Tl
2 2 2
Cartesian
0.000 0.000 0.000
1.742 1.742 6.071
0.000 0.000 7.990
1.742 1.742 1.919
0.000 0.000 3.737
1.742 1.742 9.808
```

Properties
Density of states at the Fermi level (states/eV/f.u.): 2.63
Spin magnetization (μB/atom): 0.000
Space-group type: I4mm



Of them, y has the lowest stability.



w:
Tb4AlTl | PBE-GGA | optimized geometry

The structure in POSCAR format:
```
Tb4AlTl
1.0
14.022 0.000 0.000
0.000 3.527 0.000
-1.797 0.000 6.873
Tb Al Tl
8 2 2
Cartesian
1.521 0.000 2.290
0.681 0.000 5.632
4.533 1.764 1.241
3.693 1.764 4.583
8.533 1.764 2.290
7.692 1.764 5.632
11.545 0.000 1.241
10.704 0.000 4.583
-0.899 1.764 3.437
6.113 0.000 3.437
0.000 1.764 0.000
7.011 0.000 0.000
```

Properties
Density of states at the Fermi level (states/eV/f.u.): 6.16
Spin magnetization (μB/atom): 0.000
Space-group type: C2/m



x:
Tb4AlTl | PBE-GGA | optimized geometry

The structure in POSCAR format:
```
Tb4AlTl
1.0
2.641 -11.137 0.000
2.641 11.137 0.000
0.000 0.000 6.524
Tb Al Tl
8 2 2
Cartesian
2.641 9.649 3.262
2.641 6.695 4.940
2.641 6.495 1.782
2.641 2.987 3.404
2.641 -2.987 0.141
2.641 -6.495 5.044
2.641 -6.695 1.677
2.641 -9.649 0.000
2.641 3.689 0.091
2.641 -3.689 3.353
2.641 9.589 0.019
2.641 -9.589 3.281
```

Properties
Density of states at the Fermi level (states/eV/f.u.): 5.88
Spin magnetization (μB/atom): 0.000
Space-group type: Cmc2_1



Of them, x has the lowest stability.